Entry from Alexandria: a geometry-optimized Zr2CdH structure (PBE-GGA).

Final energy (eV/f.u.): -19.8
Symmetry: Fm-3m
Total magnetic moment (μB/cell): 0.00
DOS at the Fermi energy (states/eV/f.u.): 2.8
Density (g/cm3): 6.59

```
Zr2CdH
1.0
0.000 3.340 3.340
3.340 0.000 3.340
3.340 3.340 0.000
Zr Cd H
2 1 1
Direct
0.250 0.250 0.250
0.750 0.750 0.750
0.000 0.000 0.000
0.500 0.500 0.500
```